VASP calculation (PBE) on a relaxed structure of BeTl4Re.

Structure (extended XYZ):
```
6
Lattice="-5.850 -0.206 -1.938 -4.110 4.054 2.166 -2.187 4.438 -3.679" Properties=species:S:1:pos:R:3 pbc="T T T"
Tl -6.611 5.135 -0.210
Tl -4.553 3.106 -1.294
Tl -7.481 3.003 -2.264
Tl -5.648 5.327 -3.135
Re 0.000 0.000 0.000
Be -9.110 6.214 -2.589
```

Values from the calculation:
**Crystal system**: cubic


VASP calculation (PBE) on a relaxed structure of KGa4Au5.

Structure (extended XYZ):
```
20
Lattice="8.106 0.000 0.000 0.000 7.198 0.000 0.000 0.000 7.753" Properties=species:S:1:pos:R:3 pbc="T T T"
Au 5.648 2.186 1.425
Au 2.458 5.785 2.451
Au 2.458 1.413 5.302
Au 0.343 0.000 3.877
Au 2.458 5.785 5.302
Au 2.458 1.413 2.451
Au 7.763 3.599 0.000
Au 5.648 5.012 6.328
Au 5.648 5.012 1.425
Au 5.648 2.186 6.328
Ga 1.924 3.599 6.458
Ga 4.592 2.259 3.877
Ga 3.514 5.858 0.000
Ga 6.181 0.000 2.581
Ga 3.514 1.340 0.000
Ga 6.181 0.000 5.172
Ga 4.592 4.940 3.877
Ga 1.924 3.599 1.295
K 7.890 3.599 3.877
K 0.216 0.000 0.000
```

Values from the calculation:
**Crystal system**: orthorhombic


VASP calculation (PBE) on a relaxed structure of Re12Ni5Mo3.

Structure (extended XYZ):
```
80
Lattice="12.351 0.000 0.000 -4.117 11.644 0.000 -4.117 -5.822 10.084" Properties=species:S:1:pos:R:3 pbc="T T T"
Re -3.353 9.796 1.450
Re 1.294 0.731 5.918
Re -0.764 6.553 4.166
Re 2.316 7.304 0.815
Re 5.918 5.857 1.691
Re 4.684 5.212 7.758
Re 4.881 -0.731 5.918
Re 1.491 4.621 6.733
Re 5.411 1.849 1.450
Re 2.316 4.375 0.876
Re 6.743 -0.610 2.326
Re 8.998 2.579 2.716
Re -4.881 3.243 7.369
Re 5.411 9.065 2.716
Re -0.567 0.610 2.326
Re 1.998 7.529 4.227
Re 2.626 1.201 3.351
Re 2.822 5.092 4.166
Re 7.470 -3.973 8.634
Re 8.491 5.787 1.691
Re -0.257 7.269 0.876
Re -2.119 2.807 6.493
Re 0.567 7.024 6.733
Re -1.491 -0.592 4.407
Re -3.550 5.231 5.677
Re 1.801 1.447 9.208
Re -2.119 -4.514 9.449
Re -4.178 8.629 3.592
Re -1.294 -3.243 7.369
Re -4.056 4.514 9.449
Re 5.608 6.414 5.677
Re 3.550 -1.201 3.351
Re -1.294 3.973 8.634
Re 6.236 10.336 0.635
Re -0.257 4.340 0.815
Re 6.236 3.015 3.592
Re 4.374 1.482 9.269
Re 8.173 1.308 0.635
Re -4.374 0.035 8.393
Re -2.626 6.432 7.758
Re 4.056 1.707 5.857
Re 4.374 -1.447 9.208
Re 8.295 -2.807 6.493
Re -1.801 -0.035 8.393
Re 7.667 0.592 4.407
Re 1.801 -1.482 9.269
Re 2.119 -1.707 5.857
Re 0.061 4.115 4.227
Mo 1.029 -0.728 3.782
Mo 3.088 6.550 6.303
Mo -3.088 2.183 8.824
Mo 7.205 3.639 1.261
Mo 1.029 5.822 2.521
Mo -3.088 -2.183 8.824
Mo -5.146 5.822 7.563
Mo 9.263 0.000 2.521
Mo 3.088 0.000 7.563
Mo 7.205 8.006 1.261
Mo -1.029 5.094 6.303
Mo 5.146 0.728 3.782
Ni -1.029 0.728 6.303
Ni -3.088 6.550 3.782
Ni 5.146 5.094 3.782
Ni 4.117 -2.911 5.042
Ni 6.175 0.000 0.000
Ni 4.117 5.822 0.000
Ni 3.088 2.183 1.261
Ni 3.088 8.733 2.521
Ni -4.117 2.911 5.042
Ni 5.146 2.911 7.563
Ni -1.029 9.461 1.261
Ni -2.058 5.822 0.000
Ni 1.029 3.639 8.824
Ni 1.029 -2.911 7.563
Ni 2.058 2.911 5.042
Ni -1.029 2.911 2.521
Ni -2.058 -2.911 5.042
Ni 5.146 -3.639 8.824
Ni 0.000 0.000 0.000
Ni 7.205 -0.728 6.303
```

Values from the calculation:
**Crystal system**: cubic


| no. | calculated total energy (eV/atom) | V (Å³ per cell) |
| --- | --- | --- |
| 1 | -2.7668 | 165.75 |
| 2 | -3.1433 | 452.38 |
| 3 | -9.3790 | 1450.33 |